A plane-wave DFT calculation with PBE was carried out for a geometry-optimized YRuSN2 structure.

abc: 3.887 3.887 4.866
angles: 90.00 90.00 90.00
Space group P4/mmm (No. 123)
Inequivalent atoms, fractional coordinates:
Y  0.000  0.000  0.000 [1 per cell]
Ru  0.500  0.500  0.500 [1 per cell]
S  0.500  0.500  0.000 [1 per cell]
N  0.000  0.500  0.500 [2 per cell]

Calculated values
Spin magnetization in μB per formula unit: 0.00
Formation energy from raw total energies in eV per atom: -0.1881